1.
A relaxed structure of CaZrMo4. Source: Alexandria, functional PBE.

Formation enthalpy at 0 K: 223 meV per atom
Size of the total moment: 0.000 μB/cell
Calculated volume: 458.3 Å³ per cell

Unit cell a=7.7100 b=7.7100 c=7.7100 alpha=90.00 beta=90.00 gamma=90.00
Last column: nearest neighbours and their distance in Å.
Space group F-43m (No. 216)
Symmetry-distinct sites (fractional):
Ca  0.0000  0.0000  0.0000 (multiplicity 4)  12 Mo 3.20, 4 Zr 3.34
Zr  0.2500  0.2500  0.2500 (multiplicity 4)  12 Mo 3.20, 4 Ca 3.34
Mo  0.1252  0.1252  0.6252 (multiplicity 16)  6 Mo 2.72-2.73

***

2.
A relaxed structure of CaZrMo2. Source: Alexandria, functional PBE.

Formation enthalpy at 0 K: 759 meV per atom
Size of the total moment: 6.421 μB/cell
Calculated volume: 320.3 Å³ per cell

Unit cell a=6.8418 b=6.8418 c=6.8418 alpha=90.00 beta=90.00 gamma=90.00
Last column: nearest neighbours and their distance in Å.
Space group Fm-3m (No. 225)
Symmetry-distinct sites (fractional):
Ca  0.0000  0.0000  0.0000 (multiplicity 4)  8 Mo 2.96
Zr  0.0000  0.0000  0.5000 (multiplicity 4)  8 Mo 2.96
Mo  0.2500  0.2500  0.2500 (multiplicity 8)  4 Zr 2.96, 4 Ca 2.96